# 1
Here is an optimized crystal structure of InAgMo3 from Alexandria. Energies are from GGA-PBE.

a b c (Å): 4.817 4.817 4.817
angles (deg): 90.00 90.00 90.00
Element x y z (fractional)
Mo1 0.500 0.000 0.000
Mo2 0.000 0.000 0.500
Mo3 0.000 0.500 0.000
Ag1 0.000 0.000 0.000
In1 0.500 0.500 0.500

## Properties
The calculation puts the calculated total energy at -5.42 eV per atom. For the energy of formation from the pure elements, the calculation gives 10.988 eV per formula unit. The volume comes out at 111.7 Å³/cell. The value obtained for the excess energy over the best structure of this formula in the dataset is 0 kJ/mol of formula units. The value obtained for the density of states at the Fermi level is 9.0 states/eV/f.u.

# 2
Here is an optimized crystal structure of ScTc2Os from Alexandria. Energies are from GGA-PBE.

a b c (Å): 2.801 2.801 8.131
angles (deg): 90.00 90.00 90.00
Element x y z (fractional)
Os1 0.000 0.000 0.476
Tc1 0.000 0.000 0.020
Tc2 0.500 0.500 0.263
Sc1 0.500 0.500 0.741

## Properties
The calculation puts the calculated total energy at -9.56 eV per atom. For the energy of formation from the pure elements, the calculation gives 0.062 eV per formula unit. The volume comes out at 63.8 Å³/cell. The value obtained for the excess energy over the best structure of this formula in the dataset is 28 kJ/mol of formula units. The value obtained for the density of states at the Fermi level is 3.4 states/eV/f.u.

# 3
Here is an optimized crystal structure of Tm4NiBi from Alexandria. Energies are from GGA-PBE.

a b c (Å): 5.970 6.560 8.656
angles (deg): 90.00 110.46 90.00
Element x y z (fractional)
Bi1 0.221 0.250 0.051
Bi2 0.779 0.750 0.949
Tm1 0.403 0.750 0.143
Tm2 0.564 0.250 0.423
Tm3 0.017 0.999 0.703
Tm4 0.597 0.250 0.857
Tm5 0.436 0.750 0.577
Tm6 0.983 0.499 0.297
Tm7 0.017 0.501 0.703
Tm8 0.983 0.001 0.297
Ni1 0.240 0.250 0.560
Ni2 0.760 0.750 0.440

## Properties
The calculation puts the calculated total energy at -5.02 eV per atom. For the energy of formation from the pure elements, the calculation gives -2.577 eV per formula unit. The volume comes out at 317.6 Å³/cell. The value obtained for the excess energy over the best structure of this formula in the dataset is 0 kJ/mol of formula units. The value obtained for the density of states at the Fermi level is 5.6 states/eV/f.u.